(1)
Density functional theory data (PBE) for a relaxed structure of ZrGaPt2.

The structure in extended XYZ format:
```
16
Lattice="6.482 0.000 0.000 0.000 6.482 0.000 0.000 0.000 6.482" Properties=species:S:1:pos:R:3 pbc="T T T"
Zr 0.000 0.000 0.000
Zr 0.000 3.241 3.241
Zr 3.241 0.000 3.241
Zr 3.241 3.241 0.000
Ga 1.620 1.620 4.861
Ga 1.620 4.861 1.620
Ga 4.861 1.620 1.620
Ga 4.861 4.861 4.861
Pt 0.000 0.000 3.241
Pt 0.000 3.241 0.000
Pt 1.620 1.620 1.620
Pt 1.620 4.861 4.861
Pt 3.241 0.000 0.000
Pt 3.241 3.241 3.241
Pt 4.861 1.620 4.861
Pt 4.861 4.861 1.620
```

Results
Space group: F-43m
Final energy (eV/atom): -6.604
Crystal system: cubic


(2)
Density functional theory data (PBE) for a relaxed structure of Zr6Ga16Pt7.

The structure in extended XYZ format:
```
29
Lattice="0.000 6.257 6.257 6.257 0.000 6.257 6.257 6.257 0.000" Properties=species:S:1:pos:R:3 pbc="T T T"
Zr 6.257 6.257 2.416
Zr 6.257 2.416 6.257
Zr 10.098 6.257 6.257
Zr 2.416 6.257 6.257
Zr 6.257 10.098 6.257
Zr 6.257 6.257 10.098
Ga 7.778 4.737 4.737
Ga 1.971 1.971 1.971
Ga 4.286 4.286 1.971
Ga 4.286 1.971 4.286
Ga 4.737 4.737 4.737
Ga 7.778 7.778 4.737
Ga 7.778 4.737 7.778
Ga 10.544 8.229 8.229
Ga 1.971 4.286 4.286
Ga 4.737 7.778 4.737
Ga 4.737 4.737 7.778
Ga 7.778 7.778 7.778
Ga 8.229 10.544 8.229
Ga 8.229 8.229 10.544
Ga 10.544 10.544 10.544
Ga 4.737 7.778 7.778
Pt 3.129 3.129 0.000
Pt 3.129 0.000 3.129
Pt 6.257 3.129 3.129
Pt 0.000 3.129 3.129
Pt 3.129 6.257 3.129
Pt 3.129 3.129 6.257
Pt 6.257 6.257 6.257
```

Results
Space group: Fm-3m
Final energy (eV/atom): -5.576
Crystal system: cubic


(3)
Density functional theory data (PBE) for a relaxed structure of Pu2Ga.

The structure in extended XYZ format:
```
6
Lattice="4.592 2.651 7.497 -4.592 2.651 7.497 0.000 -5.302 7.497" Properties=species:S:1:pos:R:3 pbc="T T T"
Pu 0.000 0.000 0.000
Pu -2.288 -1.321 18.701
Pu 2.288 -1.321 18.701
Pu 0.000 2.641 18.701
Ga 0.000 0.000 2.801
Ga 0.000 0.000 19.683
```

Results
Space group: R3m
Final energy (eV/atom): -8.864
Crystal system: trigonal


(4)
Density functional theory data (PBE) for a relaxed structure of PuGa2.

The structure in extended XYZ format:
```
3
Lattice="4.557 0.000 0.000 -2.279 3.947 0.000 0.000 0.000 3.412" Properties=species:S:1:pos:R:3 pbc="T T T"
Pu 0.000 0.000 0.000
Ga 0.000 2.631 1.706
Ga 2.279 1.316 1.706
```

Results
Space group: P6/mmm
Final energy (eV/atom): -7.177
Crystal system: hexagonal


(5)
Density functional theory data (PBE) for a relaxed structure of RbPuGa.

The structure in extended XYZ format:
```
12
Lattice="7.687 0.000 0.000 0.000 7.687 0.000 0.000 0.000 7.687" Properties=species:S:1:pos:R:3 pbc="T T T"
Rb 0.000 0.000 0.000
Rb 0.000 3.843 3.843
Rb 3.843 0.000 3.843
Rb 3.843 3.843 0.000
Pu 0.000 0.000 3.843
Pu 0.000 3.843 0.000
Pu 3.843 0.000 0.000
Pu 3.843 3.843 3.843
Ga 1.922 1.922 5.765
Ga 1.922 5.765 1.922
Ga 5.765 1.922 1.922
Ga 5.765 5.765 5.765
```

Results
Space group: F-43m
Final energy (eV/atom): -5.454
Crystal system: cubic


(6)
Density functional theory data (PBE) for a relaxed structure of Pu2GaSi3.

The structure in extended XYZ format:
```
6
Lattice="3.893 0.000 0.000 0.000 4.122 0.000 0.000 0.000 7.135" Properties=species:S:1:pos:R:3 pbc="T T T"
Pu 0.000 0.000 0.000
Pu 0.000 2.061 3.441
Ga 1.947 2.061 5.871
Si 1.947 0.000 2.302
Si 1.947 0.000 4.658
Si 1.947 2.061 1.156
```

Results
Space group: Pmm2
Final energy (eV/atom): -8.417
Crystal system: orthorhombic


(7)
Density functional theory data (PBE) for a relaxed structure of PuTaGa.

The structure in extended XYZ format:
```
12
Lattice="6.454 0.000 0.000 0.000 6.454 0.000 0.000 0.000 6.454" Properties=species:S:1:pos:R:3 pbc="T T T"
Pu 0.000 0.000 0.000
Pu 0.000 3.227 3.227
Pu 3.227 0.000 3.227
Pu 3.227 3.227 0.000
Ta 0.000 0.000 3.227
Ta 0.000 3.227 0.000
Ta 3.227 0.000 0.000
Ta 3.227 3.227 3.227
Ga 1.613 1.613 1.613
Ga 1.613 4.840 4.840
Ga 4.840 1.613 4.840
Ga 4.840 4.840 1.613
```

Results
Polymorph energy (0 for the lowest one) (meV per atom): 0
Space group: F-43m
Final energy (eV/atom): -9.254
Crystal system: cubic


(8)
Density functional theory data (PBE) for a relaxed structure of TbPuGa6.

The structure in extended XYZ format:
```
8
Lattice="6.223 0.000 0.000 -3.111 5.389 0.000 0.000 0.000 4.612" Properties=species:S:1:pos:R:3 pbc="T T T"
Tb 0.000 0.000 0.000
Pu 0.000 3.593 2.306
Ga 1.710 0.988 2.306
Ga 3.111 0.167 0.000
Ga 1.700 2.611 0.000
Ga 4.512 0.988 2.306
Ga 3.111 3.414 2.306
Ga 4.523 2.611 0.000
```

Results
Space group: P-6m2
Final energy (eV/atom): -5.109
Crystal system: hexagonal